Arrangement A

## PmGe2As (PBE)

Data for crystalline PmGe2As at its relaxed geometry.

The magnetic moment comes out at 0.0 μB/f.u.

It has space group P4/mmm (No. 123), with a = 4.3083 Å, b = 4.3083 Å, c = 4.5906 Å, α = 90.00°, β = 90.00° and γ = 90.00°. The inequivalent atoms are Pm at (0.0000, 0.0000, 0.0000), Ge at (0.0000, 0.5000, 0.5000) and As at (0.5000, 0.5000, 0.0000).

Arrangement B

## PmGe2As (PBE)

Data for crystalline PmGe2As at its relaxed geometry.

The magnetic moment comes out at 0.0 μB/f.u.

It has space group R-3m (No. 166, hexagonal axes), with a = 4.6653 Å, b = 4.6653 Å, c = 14.6874 Å, α = 90.00°, β = 90.00° and γ = 120.00°. The inequivalent atoms are Pm at (0.0000, 0.0000, 0.0000), Ge at (0.0000, 0.0000, 0.2089) and As at (0.0000, 0.0000, 0.5000).

Most stable structure - arrangement A; separation to the second - 20.5 kJ/mol of atoms.

Arrangement A

## Pm3GeAs (PBE)

Data for crystalline Pm3GeAs at its relaxed geometry.

The magnetic moment comes out at 0.1 μB/f.u.

It has space group Cmcm (No. 63), with a = 4.2570 Å, b = 11.6075 Å, c = 11.4445 Å, α = 90.00°, β = 90.00° and γ = 90.00°. The inequivalent atoms are Pm at (0.0000, 0.0618, 0.2500), Pm at (0.0000, 0.3453, 0.0821), Ge at (0.0000, 0.0000, 0.0000) and As at (0.0000, 0.2474, 0.7500).

Arrangement B

## Pm3GeAs (PBE)

Data for crystalline Pm3GeAs at its relaxed geometry.

The magnetic moment comes out at 0.0 μB/f.u.

It has space group Pm-3m (No. 221), with a = 5.4850 Å, b = 5.4850 Å, c = 5.4850 Å, α = 90.00°, β = 90.00° and γ = 90.00°. The inequivalent atoms are Pm at (0.0000, 0.0000, 0.5000), Ge at (0.5000, 0.5000, 0.5000) and As at (0.0000, 0.0000, 0.0000).

Most stable structure - arrangement A; separation to the second - 43.8 kJ/mol of atoms.

Arrangement A

## Pr2GeAs (PBE)

Data for crystalline Pr2GeAs at its relaxed geometry.

The magnetic moment comes out at 0.0 μB/f.u.

It has space group R3m (No. 160, hexagonal axes), with a = 4.1613 Å, b = 4.1613 Å, c = 23.2713 Å, α = 90.00°, β = 90.00° and γ = 120.00°. The inequivalent atoms are Pr at (0.0000, 0.0000, 0.0000), Pr at (0.0000, 0.0000, 0.1789), Ge at (0.0000, 0.0000, 0.4214) and As at (0.0000, 0.0000, 0.5907).

Arrangement B

## Pr2GeAs (PBE)

Data for crystalline Pr2GeAs at its relaxed geometry.

The magnetic moment comes out at 0.0 μB/f.u.

It has space group Cmcm (No. 63), with a = 4.4168 Å, b = 23.7860 Å, c = 4.1831 Å, α = 90.00°, β = 90.00° and γ = 90.00°. The inequivalent atoms are Pr at (0.0000, 0.0655, 0.2500), Pr at (0.0000, 0.3130, 0.2500), Ge at (0.0000, 0.4614, 0.2500) and As at (0.0000, 0.1879, 0.2500).

Most stable structure - arrangement B; separation to the second - 22.5 kJ/mol of atoms.